No. 1
Entry from Alexandria: Ag2Se at its PBEsol-relaxed geometry (SCAN).

Cell: 5.1510 6.3902 6.9879 Å, 90.00 90.00 90.00°
With the nearest neighbours (Å) after each atom.
Positions (direct):
Ag  0.0492  0.2372  0.2269  3 Se 2.61-2.83, 1 Ag 2.91
Ag  0.0742  0.4519  0.5936  4 Se 2.69-2.87, 4 Ag 2.91-3.00
Ag  0.4258  0.5481  0.0936  4 Se 2.69-2.87, 4 Ag 2.91-3.00
Ag  0.4508  0.7628  0.7269  3 Se 2.61-2.83, 1 Ag 2.91
Ag  0.5492  0.2628  0.7731  3 Se 2.61-2.83, 1 Ag 2.91
Ag  0.5742  0.0481  0.4064  4 Se 2.69-2.87, 4 Ag 2.91-3.00
Ag  0.9258  0.9519  0.9064  4 Se 2.69-2.87, 4 Ag 2.91-3.00
Ag  0.9508  0.7372  0.2731  3 Se 2.61-2.83, 1 Ag 2.91
Se  0.0706  0.0066  0.5393  7 Ag 2.61-2.87
Se  0.4294  0.9934  0.0393  7 Ag 2.61-2.87
Se  0.5706  0.4934  0.4607  7 Ag 2.61-2.87
Se  0.9294  0.5066  0.9607  7 Ag 2.61-2.87

Calculated values
Fermi-level density of states ... 0.9 states/eV per cell
Uncorrected formation energy ... -0.062 eV/atom
Density ... 8.5 g/cm³
Calculated volume ... 19.17 A^3/atom

---

No. 2
Entry from Alexandria: NaLi2Ca at its PBEsol-relaxed geometry (SCAN).

Cell: 7.8012 7.8012 7.8012 Å, 90.00 90.00 90.00°
With the nearest neighbours (Å) after each atom.
Positions (direct):
Na  0.0000  0.0000  0.0000  8 Li 3.38
Na  0.0000  0.5000  0.5000  8 Li 3.38
Na  0.5000  0.0000  0.5000  8 Li 3.38
Na  0.5000  0.5000  0.0000  8 Li 3.38
Li  0.2500  0.2500  0.2500  4 Na 3.38, 4 Ca 3.38
Li  0.2500  0.2500  0.7500  4 Ca 3.38, 4 Na 3.38
Li  0.2500  0.7500  0.2500  4 Ca 3.38, 4 Na 3.38
Li  0.2500  0.7500  0.7500  4 Na 3.38, 4 Ca 3.38
Li  0.7500  0.2500  0.2500  4 Ca 3.38, 4 Na 3.38
Li  0.7500  0.2500  0.7500  4 Na 3.38, 4 Ca 3.38
Li  0.7500  0.7500  0.2500  4 Na 3.38, 4 Ca 3.38
Li  0.7500  0.7500  0.7500  4 Ca 3.38, 4 Na 3.38
Ca  0.0000  0.0000  0.5000  8 Li 3.38
Ca  0.0000  0.5000  0.0000  8 Li 3.38
Ca  0.5000  0.0000  0.0000  8 Li 3.38
Ca  0.5000  0.5000  0.5000  8 Li 3.38

Calculated values
Fermi-level density of states ... 10.2 states/eV per cell
ΔH_f (0 K) ... 0.3 eV per formula unit
Density ... 1.1 g/cm³
Calculated volume ... 29.67 A^3/atom

---

No. 3
Entry from Alexandria: YCu4Ag at its PBEsol-relaxed geometry (SCAN).

Cell: 4.9676 4.9676 4.9676 Å, 60.00 60.00 60.00°
With the nearest neighbours (Å) after each atom.
Positions (direct):
Y  0.0000  0.0000  0.0000  12 Cu 2.91, 4 Ag 3.04
Cu  0.3760  0.3760  0.3760  6 Cu 2.46-2.50
Cu  0.3760  0.3760  0.8721  6 Cu 2.46-2.50
Cu  0.3760  0.8721  0.3760  6 Cu 2.46-2.50
Cu  0.8721  0.3760  0.3760  6 Cu 2.46-2.50
Ag  0.7500  0.7500  0.7500  12 Cu 2.91, 4 Y 3.04

Calculated values
Fermi-level density of states ... 4.0 states/eV per cell
ΔH_f (0 K) ... -1.5 eV per formula unit
Density ... 8.6 g/cm³
Calculated volume ... 14.45 A^3/atom

---

The lowest Fermi-level density of states belongs to which entry?
Ag2Se

---

Which value of Fermi-level density of states does entry 1 give?
0.9 states/eV per cell

---

Number 3 is which compound?
YCu4Ag

---

Please write out number 1 again, unchanged.
Entry from Alexandria: Ag2Se at its PBEsol-relaxed geometry (SCAN).

Cell: 5.1510 6.3902 6.9879 Å, 90.00 90.00 90.00°
With the nearest neighbours (Å) after each atom.
Positions (direct):
Ag  0.0492  0.2372  0.2269  3 Se 2.61-2.83, 1 Ag 2.91
Ag  0.0742  0.4519  0.5936  4 Se 2.69-2.87, 4 Ag 2.91-3.00
Ag  0.4258  0.5481  0.0936  4 Se 2.69-2.87, 4 Ag 2.91-3.00
Ag  0.4508  0.7628  0.7269  3 Se 2.61-2.83, 1 Ag 2.91
Ag  0.5492  0.2628  0.7731  3 Se 2.61-2.83, 1 Ag 2.91
Ag  0.5742  0.0481  0.4064  4 Se 2.69-2.87, 4 Ag 2.91-3.00
Ag  0.9258  0.9519  0.9064  4 Se 2.69-2.87, 4 Ag 2.91-3.00
Ag  0.9508  0.7372  0.2731  3 Se 2.61-2.83, 1 Ag 2.91
Se  0.0706  0.0066  0.5393  7 Ag 2.61-2.87
Se  0.4294  0.9934  0.0393  7 Ag 2.61-2.87
Se  0.5706  0.4934  0.4607  7 Ag 2.61-2.87
Se  0.9294  0.5066  0.9607  7 Ag 2.61-2.87

Calculated values
Fermi-level density of states ... 0.9 states/eV per cell
Uncorrected formation energy ... -0.062 eV/atom
Density ... 8.5 g/cm³
Calculated volume ... 19.17 A^3/atom